First-principles (PBE) data for an optimized crystal structure of TcHg2Ru, as listed in the Alexandria database.

The structure in POSCAR format:
```
TcHg2Ru
1.0
4.6031 -1.4682 0.0000
4.6031 1.4682 0.0000
-0.7780 0.0000 5.2051
Tc Hg Ru
1 2 1
direct
0.0000 0.0000 0.0000
0.5124 0.5124 0.5406
0.7530 0.7530 0.2869
0.2649 0.2649 0.8293
```

Computed properties:
Relative energy among the computed polymorphs in meV/atom: 328.6
Energy relative to the elements in eV/atom: 0.582
Symmetry: Cm (8)
Spin magnetization in μB/f.u.: 0.000
ρ in g/cm3: 14.17